Record 1
A crystal of YHfBr2 relaxed with PBEsol, computed with SCAN.

The calculation puts the density of states at the Fermi level at 2.7 states/eV/f.u. For the energy relative to the elements, uncorrected, the calculation gives -2.77 eV/f.u. The total energy comes out at -396.62 eV for the cell shown.

The space group is R-3m (No. 166, hexagonal axes) and the conventional cell measures 3.4006, 3.4006 and 28.6196 Å, with angles of 90.00, 90.00 and 120.00 degrees. The inequivalent atoms are Y at (0.0000, 0.0000, 0.0000), Hf at (0.0000, 0.0000, 0.5000) and Br at (0.0000, 0.0000, 0.4066).

---

Record 2
A crystal of Li3MnCoNiO6 relaxed with PBEsol, computed with SCAN.

For the energy relative to the elements, uncorrected, the calculation gives -24.03 eV/f.u. The total energy comes out at -240.63 eV for the cell shown.

The space group is C2 (No. 5) and the conventional cell measures 4.922, 8.511 and 4.978 Å, with angles of 90.00, 109.42 and 90.00 degrees. The inequivalent atoms are Li at (0.000, 0.000, 0.000), Li at (0.000, 0.328, 0.000), Li at (0.000, 0.671, 0.000), Mn at (0.000, 0.499, 0.500), Co at (0.000, 0.832, 0.500), Ni at (0.000, 0.165, 0.500), O at (0.224, 0.666, 0.728), O at (0.249, 0.841, 0.277) and O at (0.250, 0.490, 0.276).

---

Record 3
A crystal of Li5ReO6 relaxed with PBEsol, computed with SCAN.

The calculation puts the density of states at the Fermi level at 0.0 states/eV/f.u. For the energy relative to the elements, uncorrected, the calculation gives -25.43 eV/f.u. The total energy comes out at -437.60 eV for the cell shown.

The space group is P3_112 (No. 151) and the conventional cell measures 5.0151, 5.0151 and 14.0688 Å, with angles of 90.00, 90.00 and 120.00 degrees. The inequivalent atoms are Li at (0.1988, 0.0994, 0.0000), Li at (0.2224, 0.1112, 0.5000), Li at (0.2223, 0.4446, 0.1667), Li at (0.2231, 0.4462, 0.6667), Li at (0.5439, 0.0879, 0.6667), Re at (0.5562, 0.1124, 0.1667), O at (0.1982, 0.4450, 0.4220), O at (0.2465, 0.1090, 0.2450) and O at (0.5538, 0.1368, 0.9103).

---

Record 4
A crystal of K3BPd relaxed with PBEsol, computed with SCAN.

The calculation puts the density of states at the Fermi level at 4.3 states/eV/f.u. The total energy comes out at -60.15 eV for the cell shown. The formation energy is 485.9 kJ/mol of formula units.

The space group is Pm-3m (No. 221) and the conventional cell measures 5.727, 5.727 and 5.727 Å, with angles of 90.00, 90.00 and 90.00 degrees. The inequivalent atoms are K at (0.000, 0.000, 0.500), B at (0.000, 0.000, 0.000) and Pd at (0.500, 0.500, 0.500).

---

Record 5
A crystal of BeTlZn relaxed with PBEsol, computed with SCAN.

As for the energy above the most stable polymorph in this dataset: 0.0 meV/atom. The calculation puts the density of states at the Fermi level at 0.6 states/eV/f.u. The total energy comes out at -177.70 eV for the cell shown. The formation energy is 132.8 kJ/mol of formula units.

The space group is Imm2 (No. 44) and the conventional cell measures 3.669, 3.762 and 7.418 Å, with angles of 90.00, 90.00 and 90.00 degrees. The inequivalent atoms are Be at (0.000, 0.000, 0.000), Tl at (0.000, 0.000, 0.664) and Zn at (0.000, 0.000, 0.316).

---

Record 6
A crystal of Ba3GaTe relaxed with PBEsol, computed with SCAN.

The calculation puts the density of states at the Fermi level at 7.6 states/eV/f.u. For the energy relative to the elements, uncorrected, the calculation gives -2.30 eV/f.u. The total energy comes out at -174.54 eV for the cell shown.

The space group is Pm-3m (No. 221) and the conventional cell measures 6.469, 6.469 and 6.469 Å, with angles of 90.00, 90.00 and 90.00 degrees. The inequivalent atoms are Ba at (0.000, 0.000, 0.500), Ga at (0.500, 0.500, 0.500) and Te at (0.000, 0.000, 0.000).

---

Record 7
A crystal of MnSbAs2Br relaxed with PBEsol, computed with SCAN.

The calculation puts the density of states at the Fermi level at 3.3 states/eV/f.u. For the energy relative to the elements, uncorrected, the calculation gives 3.76 eV/f.u. The total energy comes out at -111.60 eV for the cell shown.

The space group is P4/mmm (No. 123) and the conventional cell measures 5.220, 5.220 and 5.346 Å, with angles of 90.00, 90.00 and 90.00 degrees. The inequivalent atoms are Mn at (0.000, 0.000, 0.000), Sb at (0.500, 0.500, 0.500), As at (0.000, 0.500, 0.500) and Br at (0.500, 0.500, 0.000).

---

Record 8
A crystal of Cu2Ir3 relaxed with PBEsol, computed with SCAN.

The calculation puts the density of states at the Fermi level at 4.7 states/eV/f.u. The total energy comes out at -730.10 eV for the cell shown. The formation energy is 31.9 kJ/mol of formula units.

The space group is R-3m (No. 166, hexagonal axes) and the conventional cell measures 2.6742, 2.6742 and 31.9838 Å, with angles of 90.00, 90.00 and 120.00 degrees. The inequivalent atoms are Cu at (0.0000, 0.0000, 0.1006), Ir at (0.0000, 0.0000, 0.2992) and Ir at (0.0000, 0.0000, 0.5000).

---

Record 9
A crystal of CuHg2Ru relaxed with PBEsol, computed with SCAN.

As for the energy above the most stable polymorph in this dataset: 0.0 meV/atom. The calculation puts the density of states at the Fermi level at 1.0 states/eV/f.u. The total energy comes out at -369.37 eV for the cell shown. The formation energy is 161.5 kJ/mol of formula units.

The space group is Cm (No. 8) and the conventional cell measures 10.205, 2.913 and 4.749 Å, with angles of 90.00, 111.61 and 90.00 degrees. The inequivalent atoms are Cu at (0.000, 0.000, 0.000), Hg at (0.032, 0.500, 0.522), Hg at (0.257, 0.500, 0.138) and Ru at (0.285, 0.000, 0.654).

---

Record 10
A crystal of La3Al11 relaxed with PBEsol, computed with SCAN.

The calculation puts the density of states at the Fermi level at 3.9 states/eV/f.u. The total energy comes out at -441.06 eV for the cell shown. The formation energy is -573.4 kJ/mol of formula units.

The space group is Immm (No. 71) and the conventional cell measures 4.401, 10.050 and 13.019 Å, with angles of 90.00, 90.00 and 90.00 degrees. The inequivalent atoms are La at (0.000, 0.000, 0.000), La at (0.000, 0.000, 0.316), Al at (0.000, 0.214, 0.500), Al at (0.000, 0.274, 0.137), Al at (0.000, 0.368, 0.335) and Al at (0.000, 0.500, 0.000).

---

Record 11
A crystal of SrHgSb relaxed with PBEsol, computed with SCAN.

As for the energy above the most stable polymorph in this dataset: 102.8 meV/atom. The calculation puts the density of states at the Fermi level at 1.8 states/eV/f.u. For the energy relative to the elements, uncorrected, the calculation gives -1.94 eV/f.u. The total energy comes out at -518.56 eV for the cell shown.

The space group is F-43m (No. 216) and the conventional cell measures 7.212, 7.212 and 7.212 Å, with angles of 90.00, 90.00 and 90.00 degrees. The inequivalent atoms are Sr at (0.000, 0.000, 0.000), Hg at (0.250, 0.250, 0.250) and Sb at (0.000, 0.000, 0.500).

---

Record 12
A crystal of BeSbOs3 relaxed with PBEsol, computed with SCAN.

The calculation puts the density of states at the Fermi level at 5.0 states/eV/f.u. For the energy relative to the elements, uncorrected, the calculation gives 14.21 eV/f.u. The total energy comes out at -243.04 eV for the cell shown.

The space group is Pm-3m (No. 221) and the conventional cell measures 4.743, 4.743 and 4.743 Å, with angles of 90.00, 90.00 and 90.00 degrees. The inequivalent atoms are Be at (0.000, 0.000, 0.000), Sb at (0.500, 0.500, 0.500) and Os at (0.000, 0.500, 0.500).